Record 1
Here is MgTl5 at its PBEsol-relaxed geometry from Alexandria via LeMat-Bulk. Energies are from SCAN.

Structure (POSCAR):
```
MgTl5
1.0
4.775 0.000 0.000
0.000 14.969 0.000
0.000 0.000 4.536
Mg Tl
2 10
direct
0.000 0.000 0.000
0.500 0.500 0.000
0.000 0.161 0.500
0.000 0.336 0.000
0.000 0.500 0.500
0.000 0.664 0.000
0.000 0.839 0.500
0.500 0.000 0.500
0.500 0.164 0.000
0.500 0.339 0.500
0.500 0.661 0.500
0.500 0.836 0.000
```

Total magnetization (μB/cell): 0.00
Volume (Å³/atom): 27.02
Formation energy from the elements (eV per atom): 0.0148
Symmetry: Cmmm, No. 65
E_tot (eV/atom): -61.113

=====

Record 2
Here is SnAsPdS2 at its PBEsol-relaxed geometry from Alexandria via LeMat-Bulk. Energies are from SCAN.

Structure (POSCAR):
```
SnAsPdS2
1.0
4.660 0.000 0.000
0.000 4.660 0.000
0.000 0.000 4.850
Sn As Pd S
1 1 1 2
direct
0.000 0.000 0.000
0.500 0.500 0.000
0.500 0.500 0.500
0.000 0.500 0.500
0.500 0.000 0.500
```

Total magnetization (μB/cell): 0.78
Volume (Å³/atom): 21.06
Formation energy from raw total energies (eV per formula unit): 1.68
Symmetry: P4/mmm, No. 123
E_tot (eV/atom): -21.292

=====

Record 3
Here is FeCuP2 at its PBEsol-relaxed geometry from Alexandria via LeMat-Bulk. Energies are from SCAN.

Structure (POSCAR):
```
FeCuP2
1.0
3.791 0.000 0.000
0.000 2.866 0.000
-1.858 0.000 4.328
Fe Cu P
1 1 2
direct
0.000 0.000 0.000
0.500 0.500 0.500
0.000 0.000 0.500
0.500 0.500 0.000
```

Total magnetization (μB/cell): 1.97
Volume (Å³/atom): 11.76
Formation energy from the elements (eV per atom): 0.1430
Symmetry: P2/m, No. 10
E_tot (eV/atom): -13.389

=====

Record 4
Here is AsPbSe2I at its PBEsol-relaxed geometry from Alexandria via LeMat-Bulk. Energies are from SCAN.

Structure (POSCAR):
```
AsPbSe2I
1.0
5.354 0.000 0.000
0.000 5.354 0.000
0.000 0.000 5.235
As Pb Se I
1 1 2 1
direct
0.000 0.000 0.000
0.500 0.500 0.000
0.000 0.500 0.500
0.500 0.000 0.500
0.000 0.000 0.500
```

Total magnetization (μB/cell): 0.00
Volume (Å³/atom): 30.01
Formation energy from raw total energies (eV per formula unit): 3.45
Symmetry: P4/mmm, No. 123
E_tot (eV/atom): -33.884

=====

Record 5
Here is Li3ZrCo at its PBEsol-relaxed geometry from Alexandria via LeMat-Bulk. Energies are from SCAN.

Structure (POSCAR):
```
Li3ZrCo
1.0
4.260 0.000 0.000
0.000 4.260 0.000
0.000 0.000 4.260
Li Zr Co
3 1 1
direct
0.000 0.000 0.500
0.000 0.500 0.000
0.500 0.000 0.000
0.500 0.500 0.500
0.000 0.000 0.000
```

Total magnetization (μB/cell): 0.00
Volume (Å³/atom): 15.46
Formation energy from the elements (eV per atom): 0.7981
Symmetry: Pm-3m, No. 221
E_tot (eV/atom): -10.236

=====

Record 6
Here is AlRe3 at its PBEsol-relaxed geometry from Alexandria via LeMat-Bulk. Energies are from SCAN.

Structure (POSCAR):
```
AlRe3
1.0
2.840 0.000 0.000
0.000 4.431 0.000
0.000 0.000 4.587
Al Re
1 3
direct
0.000 0.000 0.000
0.000 0.500 0.330
0.500 0.000 0.514
0.500 0.500 0.839
```

Total magnetization (μB/cell): 0.00
Volume (Å³/atom): 14.43
Formation energy from the elements (eV per atom): -0.0823
Symmetry: Pmm2, No. 25
E_tot (eV/atom): -55.343

=====

Record 7
Here is TcAg2Br at its PBEsol-relaxed geometry from Alexandria via LeMat-Bulk. Energies are from SCAN.

Structure (POSCAR):
```
TcAg2Br
1.0
2.895 0.000 0.000
0.000 4.393 0.000
0.000 0.000 12.533
Tc Ag Br
2 4 2
direct
0.000 0.000 0.000
0.500 0.500 0.500
0.000 0.000 0.559
0.000 0.500 0.693
0.500 0.000 0.193
0.500 0.500 0.059
0.000 0.500 0.341
0.500 0.000 0.841
```

Total magnetization (μB/cell): 3.00
Volume (Å³/atom): 19.93
Formation energy from raw total energies (eV per formula unit): 2.23
Symmetry: Imm2, No. 44
E_tot (eV/atom): -28.756
Polymorph energy (0 for the lowest one) (eV per formula unit): 0.00

=====

Record 8
Here is CuSiSe2 at its PBEsol-relaxed geometry from Alexandria via LeMat-Bulk. Energies are from SCAN.

Structure (POSCAR):
```
CuSiSe2
1.0
3.537 0.000 0.000
0.000 3.537 0.000
0.000 0.000 5.816
Cu Si Se
1 1 2
direct
0.000 0.000 0.000
0.500 0.500 0.517
0.000 0.000 0.420
0.500 0.500 0.918
```

Total magnetization (μB/cell): 0.00
Volume (Å³/atom): 18.19
Formation energy from raw total energies (eV per formula unit): -0.22
Symmetry: P4mm, No. 99
E_tot (eV/atom): -16.398

=====

Record 9
Here is CsBa3Au at its PBEsol-relaxed geometry from Alexandria via LeMat-Bulk. Energies are from SCAN.

Structure (POSCAR):
```
CsBa3Au
1.0
6.525 0.000 0.000
0.000 6.525 0.000
0.000 0.000 6.525
Cs Ba Au
1 3 1
direct
0.000 0.000 0.000
0.000 0.500 0.500
0.500 0.000 0.500
0.500 0.500 0.000
0.500 0.500 0.500
```

Total magnetization (μB/cell): 0.00
Volume (Å³/atom): 55.57
Formation energy from the elements (eV per atom): -0.3205
Symmetry: Pm-3m, No. 221
E_tot (eV/atom): -45.444

=====

Record 10
Here is KScIn2 at its PBEsol-relaxed geometry from Alexandria via LeMat-Bulk. Energies are from SCAN.

Structure (POSCAR):
```
KScIn2
1.0
7.489 0.000 0.000
0.000 7.489 0.000
0.000 0.000 7.489
K Sc In
4 4 8
direct
0.000 0.000 0.000
0.000 0.500 0.500
0.500 0.000 0.500
0.500 0.500 0.000
0.250 0.250 0.250
0.250 0.750 0.750
0.750 0.250 0.750
0.750 0.750 0.250
0.000 0.000 0.500
0.000 0.500 0.000
0.250 0.250 0.750
0.250 0.750 0.250
0.500 0.000 0.000
0.500 0.500 0.500
0.750 0.250 0.250
0.750 0.750 0.750
```

Total magnetization (μB/cell): 3.14
Volume (Å³/atom): 26.25
Formation energy from the elements (eV per atom): 0.1521
Symmetry: F-43m, No. 216
E_tot (eV/atom): -22.183
Polymorph energy (0 for the lowest one) (eV per formula unit): 1.98

=====

Record 11
Here is Ba3TcTe at its PBEsol-relaxed geometry from Alexandria via LeMat-Bulk. Energies are from SCAN.

Structure (POSCAR):
```
Ba3TcTe
1.0
5.647 0.000 0.000
0.000 5.647 0.000
0.000 0.000 5.647
Ba Tc Te
3 1 1
direct
0.000 0.000 0.500
0.000 0.500 0.000
0.500 0.000 0.000
0.000 0.000 0.000
0.500 0.500 0.500
```

Total magnetization (μB/cell): 0.00
Volume (Å³/atom): 36.02
Formation energy from raw total energies (eV per formula unit): -1.02
Symmetry: Pm-3m, No. 221
E_tot (eV/atom): -38.396

=====

Record 12
Here is YCl at its PBEsol-relaxed geometry from Alexandria via LeMat-Bulk. Energies are from SCAN.

Structure (POSCAR):
```
YCl
1.0
3.948 0.000 0.000
0.000 5.821 0.000
0.000 0.000 9.626
Y Cl
4 4
direct
0.000 0.250 0.140
0.000 0.750 0.860
0.500 0.250 0.860
0.500 0.750 0.140
0.000 0.250 0.674
0.000 0.750 0.326
0.500 0.250 0.326
0.500 0.750 0.674
```

Total magnetization (μB/cell): 0.00
Volume (Å³/atom): 27.65
Formation energy from raw total energies (eV per formula unit): -3.03
Symmetry: Cmme, No. 67
E_tot (eV/atom): -19.424